(1)
Material: AlCoHg
Method: DFT, PBE-GGA
State: optimized geometry

It has space group P3m1 (No. 156), with a = 4.1580 Å, b = 4.1580 Å, c = 3.1375 Å, α = 90.00°, β = 90.00° and γ = 120.00°. The distinct sites, in fractional coordinates, are Al at (0.0000, 0.0000, 0.0000), Co at (0.3333, 0.6667, 0.0028) and Hg at (0.6667, 0.3333, 0.5017).

The calculation puts the energy above the most stable polymorph in this dataset at 0.147 eV/atom.

(2)
Material: PrSmEr2Tm
Method: DFT, PBE-GGA
State: optimized geometry

It has space group Cmcm (No. 63), with a = 8.397 Å, b = 11.487 Å, c = 7.177 Å, α = 90.00°, β = 90.00° and γ = 90.00°. The distinct sites, in fractional coordinates, are Pr at (0.000, 0.230, 0.250), Sm at (0.000, 0.498, 0.750), Er at (0.187, 0.000, 0.000) and Tm at (0.000, 0.218, 0.750).

The value obtained for the total energy is -84.698 eV per cell.

(3)
Material: PaCdHg
Method: DFT, PBE-GGA
State: optimized geometry

It has space group I4mm (No. 107), with a = 3.155 Å, b = 3.155 Å, c = 14.192 Å, α = 90.00°, β = 90.00° and γ = 90.00°. The distinct sites, in fractional coordinates, are Pa at (0.000, 0.000, 0.000), Cd at (0.000, 0.000, 0.326) and Hg at (0.000, 0.000, 0.670).

The calculation puts the energy above the most stable polymorph in this dataset at 0.075 eV/atom.

(4)
Material: LiAuBr2
Method: DFT, PBE-GGA
State: optimized geometry

It has space group Immm (No. 71), with a = 3.968 Å, b = 7.432 Å, c = 7.481 Å, α = 90.00°, β = 90.00° and γ = 90.00°. The distinct sites, in fractional coordinates, are Li at (0.000, 0.000, 0.000), Au at (0.000, 0.500, 0.000) and Br at (0.000, 0.255, 0.500).

The calculation puts the energy above the most stable polymorph in this dataset at 0.227 eV/atom. As for the formation energy (no corrections): -0.55 eV/atom.

(5)
Material: KSr4Li
Method: DFT, PBE-GGA
State: optimized geometry

It has space group F-43m (No. 216), with a = 11.293 Å, b = 11.293 Å, c = 11.293 Å, α = 90.00°, β = 90.00° and γ = 90.00°. The distinct sites, in fractional coordinates, are K at (0.000, 0.000, 0.000), Sr at (0.125, 0.125, 0.375) and Li at (0.250, 0.250, 0.750).

The value obtained for the total energy is -32.489 eV per cell.

(6)
Material: Co2ReHg
Method: DFT, PBE-GGA
State: optimized geometry

It has space group I4/mmm (No. 139), with a = 3.980 Å, b = 3.980 Å, c = 6.997 Å, α = 90.00°, β = 90.00° and γ = 90.00°. The distinct sites, in fractional coordinates, are Co at (0.000, 0.500, 0.250), Re at (0.000, 0.000, 0.000) and Hg at (0.000, 0.000, 0.500).

The value obtained for the total energy is -49.344 eV per cell.

(7)
Material: PmTmSnSb
Method: DFT, PBE-GGA
State: optimized geometry

It has space group F-43m (No. 216), with a = 7.641 Å, b = 7.641 Å, c = 7.641 Å, α = 90.00°, β = 90.00° and γ = 90.00°. The distinct sites, in fractional coordinates, are Pm at (0.000, 0.000, 0.000), Tm at (0.000, 0.000, 0.500), Sn at (0.250, 0.250, 0.750) and Sb at (0.250, 0.250, 0.250).

As for the formation energy (no corrections): -0.62 eV/atom.

(8)
Material: CaMnCr2
Method: DFT, PBE-GGA
State: optimized geometry

It has space group Cm (No. 8), with a = 8.759 Å, b = 2.970 Å, c = 5.490 Å, α = 90.00°, β = 104.98° and γ = 90.00°. The distinct sites, in fractional coordinates, are Ca at (0.000, 0.000, 0.000), Mn at (0.283, 0.500, 0.368), Cr at (0.204, 0.000, 0.621) and Cr at (0.498, 0.000, 0.493).

The calculation puts the energy above the most stable polymorph in this dataset at 0.219 eV/atom.

Repeat the eighth record exactly.
Material: CaMnCr2
Method: DFT, PBE-GGA
State: optimized geometry

It has space group Cm (No. 8), with a = 8.759 Å, b = 2.970 Å, c = 5.490 Å, α = 90.00°, β = 104.98° and γ = 90.00°. The distinct sites, in fractional coordinates, are Ca at (0.000, 0.000, 0.000), Mn at (0.283, 0.500, 0.368), Cr at (0.204, 0.000, 0.621) and Cr at (0.498, 0.000, 0.493).

The calculation puts the energy above the most stable polymorph in this dataset at 0.219 eV/atom.